Record 1
! CeBeSi2Pd, relaxed, DFT PBE; values from VASP
&SYSTEM
  ibrav = 0, nat = 5, ntyp = 4
/
ATOMIC_SPECIES
Ce 140.12 Ce.upf
Be 9.01 Be.upf
Si 28.09 Si.upf
Pd 106.42 Pd.upf
ATOMIC_POSITIONS crystal
Ce 0.000 0.000 0.000
Be 0.750 0.250 0.500
Si 0.618 0.618 0.235
Si 0.382 0.382 0.765
Pd 0.250 0.750 0.500
CELL_PARAMETERS angstrom
4.040 0.000 0.000
0.000 4.040 0.000
-2.020 -2.020 5.047
! Uncorrected energy   -29.13 eV per cell
! Uncorrected formation energy   -0.686 eV per atom



Record 2
! Ce2Be3Si4Pd, relaxed, DFT PBE; values from VASP
&SYSTEM
  ibrav = 0, nat = 10, ntyp = 4
/
ATOMIC_SPECIES
Ce 140.12 Ce.upf
Be 9.01 Be.upf
Si 28.09 Si.upf
Pd 106.42 Pd.upf
ATOMIC_POSITIONS crystal
Ce 0.500 0.000 0.241
Ce 0.000 0.500 0.759
Be 0.000 0.000 0.500
Be 0.500 0.000 0.876
Be 0.000 0.500 0.124
Si 0.500 0.500 0.000
Si 0.000 0.000 0.000
Si 0.500 0.000 0.642
Si 0.000 0.500 0.358
Pd 0.500 0.500 0.500
CELL_PARAMETERS angstrom
4.022 0.000 0.000
0.000 4.022 0.000
0.000 0.000 9.647
! Uncorrected energy   -55.24 eV per cell
! Uncorrected formation energy   -0.531 eV per atom



Record 3
! Ce2BeSiPd6, relaxed, DFT PBE; values from VASP
&SYSTEM
  ibrav = 0, nat = 10, ntyp = 4
/
ATOMIC_SPECIES
Ce 140.12 Ce.upf
Be 9.01 Be.upf
Si 28.09 Si.upf
Pd 106.42 Pd.upf
ATOMIC_POSITIONS crystal
Ce 0.726 0.183 0.553
Ce 0.274 0.817 0.447
Be 0.500 0.500 0.000
Si 0.000 0.000 0.000
Pd 0.260 0.307 0.487
Pd 0.745 0.716 0.016
Pd 0.229 0.710 0.021
Pd 0.771 0.290 0.979
Pd 0.255 0.284 0.984
Pd 0.740 0.693 0.513
CELL_PARAMETERS angstrom
5.793 0.007 -0.007
0.000 7.080 -0.870
2.889 2.995 4.085
! Uncorrected energy   -58.65 eV per cell
! Uncorrected formation energy   -0.647 eV per atom